{
  "formula": "Li2Mg8In",
  "functional": "GGA-PBE",
  "state": "optimized geometry",
  "de_polymorph_mev_per_atom": 39,
  "dos_at_fermi_per_ev_atom": 0.280,
  "e_form_ev_per_atom": -0.02,
  "mass_density_g_cm3": 2.12,
  "e_tot_ev_per_atom": -1.774,
  "sg": "No. 123",
  "cell": [[4.9082, 0.0000, 0.0000], [0.0000, 4.9082, 0.0000], [0.0000, 0.0000, 10.4943]],
  "species": ["Li", "Li", "Mg", "Mg", "Mg", "Mg", "Mg", "Mg", "Mg", "Mg", "In"],
  "frac_coords": [[0.0000, 0.0000, 0.1780], [0.0000, 0.0000, 0.8220], [0.0000, 0.5000, 0.0000], [0.0000, 0.5000, 0.3447], [0.0000, 0.5000, 0.6553], [0.5000, 0.0000, 0.0000], [0.5000, 0.0000, 0.3447], [0.5000, 0.0000, 0.6553], [0.5000, 0.5000, 0.1668], [0.5000, 0.5000, 0.8332], [0.0000, 0.0000, 0.5000]]
}

=====

{
  "formula": "LiMg2In3",
  "functional": "GGA-PBE",
  "state": "optimized geometry",
  "de_polymorph_mev_per_atom": 13,
  "dos_at_fermi_per_ev_atom": 0.309,
  "e_form_ev_per_atom": -0.14,
  "mass_density_g_cm3": 4.96,
  "e_tot_ev_per_atom": -2.363,
  "sg": "No. 123",
  "cell": [[3.3552, 0.0000, 0.0000], [0.0000, 3.3552, 0.0000], [0.0000, 0.0000, 11.8929]],
  "species": ["Li", "Mg", "Mg", "In", "In", "In"],
  "frac_coords": [[0.0000, 0.0000, 0.0000], [0.0000, 0.0000, 0.3278], [0.0000, 0.0000, 0.6722], [0.5000, 0.5000, 0.1540], [0.5000, 0.5000, 0.5000], [0.5000, 0.5000, 0.8460]]
}

=====

{
  "formula": "Li3Mg3In",
  "functional": "GGA-PBE",
  "state": "optimized geometry",
  "de_polymorph_mev_per_atom": 43,
  "dos_at_fermi_per_ev_atom": 0.420,
  "e_form_ev_per_atom": -0.01,
  "mass_density_g_cm3": 2.26,
  "e_tot_ev_per_atom": -1.900,
  "sg": "No. 160",
  "cell": [[4.3630, 2.5190, 2.3192], [-4.3630, 2.5190, 2.3192], [0.0000, -5.0380, 2.3192]],
  "species": ["Li", "Li", "Li", "Mg", "Mg", "Mg", "In"],
  "frac_coords": [[0.0454, 0.4773, 0.4773], [0.4773, 0.0454, 0.4773], [0.4773, 0.4773, 0.0454], [0.0310, 0.0310, 0.6621], [0.0310, 0.6621, 0.0310], [0.6621, 0.0310, 0.0310], [0.5740, 0.5740, 0.5740]]
}

=====

{
  "formula": "Li7Mg4In",
  "functional": "GGA-PBE",
  "state": "optimized geometry",
  "de_polymorph_mev_per_atom": 103,
  "dos_at_fermi_per_ev_atom": 0.357,
  "e_form_ev_per_atom": 0.00,
  "mass_density_g_cm3": 1.73,
  "e_tot_ev_per_atom": -1.881,
  "sg": "No. 12",
  "cell": [[7.4169, -2.5245, 0.0000], [7.4169, 2.5245, 0.0000], [-3.5143, 0.0000, 6.6697]],
  "species": ["Li", "Li", "Li", "Li", "Li", "Li", "Li", "Mg", "Mg", "Mg", "Mg", "In"],
  "frac_coords": [[0.0000, 0.0000, 0.0000], [0.2888, 0.2888, 0.1600], [0.2972, 0.2972, 0.8071], [0.4279, 0.4279, 0.5824], [0.5721, 0.5721, 0.4176], [0.7028, 0.7028, 0.1929], [0.7112, 0.7112, 0.8400], [0.0803, 0.0803, 0.7268], [0.1687, 0.1687, 0.3946], [0.8313, 0.8313, 0.6054], [0.9197, 0.9197, 0.2732], [0.5000, 0.5000, 0.0000]]
}

=====

{
  "formula": "LiMg2In",
  "functional": "GGA-PBE",
  "state": "optimized geometry",
  "dos_at_fermi_per_ev_atom": 0.261,
  "e_form_ev_per_atom": -0.04,
  "mass_density_g_cm3": 3.12,
  "e_tot_ev_per_atom": -2.004,
  "sg": "No. 65",
  "cell": [[1.8663, -2.5133, 0.0000], [1.8663, 2.5133, 0.0000], [0.0000, 0.0000, 9.6559]],
  "species": ["Li", "Mg", "Mg", "In"],
  "frac_coords": [[0.0000, 0.0000, 0.0000], [0.5000, 0.5000, 0.2383], [0.5000, 0.5000, 0.7617], [0.0000, 0.0000, 0.5000]]
}

=====

{
  "formula": "LiMg2In4",
  "functional": "GGA-PBE",
  "state": "optimized geometry",
  "de_polymorph_mev_per_atom": 21,
  "dos_at_fermi_per_ev_atom": 0.429,
  "e_form_ev_per_atom": -0.05,
  "mass_density_g_cm3": 5.06,
  "e_tot_ev_per_atom": -2.342,
  "sg": "No. 122",
  "cell": [[-4.4099, 4.4099, 4.3414], [4.4099, -4.4099, 4.3414], [4.4099, 4.4099, -4.3414]],
  "species": ["Li", "Li", "Mg", "Mg", "Mg", "Mg", "In", "In", "In", "In", "In", "In", "In", "In"],
  "frac_coords": [[0.0000, 0.0000, 0.0000], [0.7500, 0.2500, 0.5000], [0.2549, 0.1250, 0.6299], [0.3750, 0.7451, 0.8701], [0.4951, 0.6250, 0.3701], [0.8750, 0.5049, 0.1299], [0.1169, 0.3676, 0.9143], [0.1176, 0.3669, 0.4143], [0.2967, 0.8824, 0.2493], [0.4533, 0.2026, 0.0857], [0.6324, 0.5467, 0.7493], [0.6331, 0.0474, 0.7507], [0.7974, 0.8831, 0.2507], [0.9526, 0.7033, 0.5857]]
}

=====

{
  "formula": "Li4Mg2In",
  "functional": "GGA-PBE",
  "state": "optimized geometry",
  "de_polymorph_mev_per_atom": 318,
  "dos_at_fermi_per_ev_atom": 0.485,
  "e_form_ev_per_atom": 0.17,
  "mass_density_g_cm3": 1.74,
  "e_tot_ev_per_atom": -1.768,
  "sg": "No. 139",
  "cell": [[-2.4775, 2.4775, 7.4423], [2.4775, -2.4775, 7.4423], [2.4775, 2.4775, -7.4423]],
  "species": ["Li", "Li", "Li", "Li", "Mg", "Mg", "In"],
  "frac_coords": [[0.0000, 0.5000, 0.5000], [0.1851, 0.1851, 0.0000], [0.5000, 0.0000, 0.5000], [0.8149, 0.8149, 0.0000], [0.3918, 0.3918, 0.0000], [0.6082, 0.6082, 0.0000], [0.0000, 0.0000, 0.0000]]
}

=====

{
  "formula": "Li3Mg3In",
  "functional": "GGA-PBE",
  "state": "optimized geometry",
  "de_polymorph_mev_per_atom": 0,
  "dos_at_fermi_per_ev_atom": 0.410,
  "e_form_ev_per_atom": -0.05,
  "mass_density_g_cm3": 2.35,
  "e_tot_ev_per_atom": -1.943,
  "sg": "No. 198",
  "cell": [[8.3903, 0.0000, 0.0000], [0.0000, 8.3903, 0.0000], [0.0000, 0.0000, 8.3903]],
  "species": ["Li", "Li", "Li", "Li", "Li", "Li", "Li", "Li", "Li", "Li", "Li", "Li", "Mg", "Mg", "Mg", "Mg", "Mg", "Mg", "Mg", "Mg", "Mg", "Mg", "Mg", "Mg", "In", "In", "In", "In"],
  "frac_coords": [[0.0135, 0.1790, 0.8903], [0.1097, 0.5135, 0.3210], [0.1790, 0.8903, 0.0135], [0.3210, 0.1097, 0.5135], [0.3903, 0.4865, 0.8210], [0.4865, 0.8210, 0.3903], [0.5135, 0.3210, 0.1097], [0.6097, 0.9865, 0.6790], [0.6790, 0.6097, 0.9865], [0.8210, 0.3903, 0.4865], [0.8903, 0.0135, 0.1790], [0.9865, 0.6790, 0.6097], [0.0552, 0.5552, 0.9448], [0.1561, 0.8439, 0.3439], [0.2026, 0.2026, 0.2026], [0.2974, 0.7974, 0.7026], [0.3439, 0.1561, 0.8439], [0.4448, 0.4448, 0.4448], [0.5552, 0.9448, 0.0552], [0.6561, 0.6561, 0.6561], [0.7026, 0.2974, 0.7974], [0.7974, 0.7026, 0.2974], [0.8439, 0.3439, 0.1561], [0.9448, 0.0552, 0.5552], [0.1288, 0.3712, 0.6288], [0.3712, 0.6288, 0.1288], [0.6288, 0.1288, 0.3712], [0.8712, 0.8712, 0.8712]]
}

=====

{
  "formula": "LiMgIn2",
  "functional": "GGA-PBE",
  "state": "optimized geometry",
  "dos_at_fermi_per_ev_atom": 0.300,
  "e_form_ev_per_atom": -0.09,
  "mass_density_g_cm3": 4.74,
  "e_tot_ev_per_atom": -2.332,
  "sg": "No. 35",
  "cell": [[2.2439, -2.2476, 0.0000], [2.2439, 2.2476, 0.0000], [0.0000, 0.0000, 9.0690]],
  "species": ["Li", "Mg", "In", "In"],
  "frac_coords": [[0.0000, 0.0000, 0.0000], [0.5000, 0.5000, 0.2364], [0.0000, 0.0000, 0.4976], [0.5000, 0.5000, 0.7747]]
}

=====

{
  "formula": "Li4MgIn15",
  "functional": "GGA-PBE",
  "state": "optimized geometry",
  "dos_at_fermi_per_ev_atom": 0.466,
  "e_form_ev_per_atom": -0.11,
  "mass_density_g_cm3": 6.12,
  "e_tot_ev_per_atom": -2.625,
  "sg": "No. 123",
  "cell": [[4.5201, 0.0000, 0.0000], [0.0000, 4.5201, 0.0000], [0.0000, 0.0000, 23.5653]],
  "species": ["Li", "Li", "Li", "Li", "Mg", "In", "In", "In", "In", "In", "In", "In", "In", "In", "In", "In", "In", "In", "In", "In"],
  "frac_coords": [[0.0000, 0.0000, 0.0998], [0.0000, 0.0000, 0.2962], [0.0000, 0.0000, 0.7038], [0.0000, 0.0000, 0.9002], [0.0000, 0.0000, 0.5000], [0.0000, 0.5000, 0.0000], [0.0000, 0.5000, 0.1978], [0.0000, 0.5000, 0.3971], [0.0000, 0.5000, 0.6029], [0.0000, 0.5000, 0.8022], [0.5000, 0.0000, 0.0000], [0.5000, 0.0000, 0.1978], [0.5000, 0.0000, 0.3971], [0.5000, 0.0000, 0.6029], [0.5000, 0.0000, 0.8022], [0.5000, 0.5000, 0.0989], [0.5000, 0.5000, 0.2965], [0.5000, 0.5000, 0.5000], [0.5000, 0.5000, 0.7035], [0.5000, 0.5000, 0.9011]]
}

=====

{
  "formula": "Li5Mg3In4",
  "functional": "GGA-PBE",
  "state": "optimized geometry",
  "dos_at_fermi_per_ev_atom": 0.328,
  "e_form_ev_per_atom": -0.17,
  "mass_density_g_cm3": 3.79,
  "e_tot_ev_per_atom": -2.283,
  "sg": "No. 2",
  "cell": [[5.9120, 0.0000, 0.0000], [-1.1705, 5.8862, 0.0000], [-1.1347, -2.5134, 7.1451]],
  "species": ["Li", "Li", "Li", "Li", "Li", "Mg", "Mg", "Mg", "In", "In", "In", "In"],
  "frac_coords": [[0.0000, 0.0000, 0.0000], [0.3419, 0.5276, 0.3523], [0.4927, 0.2565, 0.0182], [0.5073, 0.7435, 0.9818], [0.6581, 0.4724, 0.6477], [0.0000, 0.5000, 0.0000], [0.1728, 0.2214, 0.6635], [0.8272, 0.7786, 0.3365], [0.1407, 0.7199, 0.6859], [0.3546, 0.0044, 0.3107], [0.6454, 0.9956, 0.6893], [0.8593, 0.2801, 0.3141]]
}

=====

{
  "formula": "Li3Mg7In2",
  "functional": "GGA-PBE",
  "state": "optimized geometry",
  "dos_at_fermi_per_ev_atom": 0.305,
  "e_form_ev_per_atom": -0.04,
  "mass_density_g_cm3": 2.63,
  "e_tot_ev_per_atom": -1.906,
  "sg": "No. 65",
  "cell": [[2.5147, -15.9283, 0.0000], [2.5147, 15.9283, 0.0000], [0.0000, 0.0000, 3.3197]],
  "species": ["Li", "Li", "Li", "Mg", "Mg", "Mg", "Mg", "Mg", "Mg", "Mg", "In", "In"],
  "frac_coords": [[0.0000, 0.0000, 0.0000], [0.1492, 0.8508, 0.0000], [0.8508, 0.1492, 0.0000], [0.0712, 0.9288, 0.5000], [0.2267, 0.7733, 0.5000], [0.4117, 0.5883, 0.0000], [0.5000, 0.5000, 0.5000], [0.5883, 0.4117, 0.0000], [0.7733, 0.2267, 0.5000], [0.9288, 0.0712, 0.5000], [0.3270, 0.6730, 0.5000], [0.6730, 0.3270, 0.5000]]
}

=====

Please write out number 2 again, unchanged.
{
  "formula": "LiMg2In3",
  "functional": "GGA-PBE",
  "state": "optimized geometry",
  "de_polymorph_mev_per_atom": 13,
  "dos_at_fermi_per_ev_atom": 0.309,
  "e_form_ev_per_atom": -0.14,
  "mass_density_g_cm3": 4.96,
  "e_tot_ev_per_atom": -2.363,
  "sg": "No. 123",
  "cell": [[3.3552, 0.0000, 0.0000], [0.0000, 3.3552, 0.0000], [0.0000, 0.0000, 11.8929]],
  "species": ["Li", "Mg", "Mg", "In", "In", "In"],
  "frac_coords": [[0.0000, 0.0000, 0.0000], [0.0000, 0.0000, 0.3278], [0.0000, 0.0000, 0.6722], [0.5000, 0.5000, 0.1540], [0.5000, 0.5000, 0.5000], [0.5000, 0.5000, 0.8460]]
}